[1]
CsYSnS4: optimized geometry, PBE-GGA.

Unit cell a=6.805 b=7.037 c=9.636 alpha=90.00 beta=108.64 gamma=90.00
Element x y z (fractional)
Cs1 0.237 0.250 0.444
Cs2 0.763 0.750 0.556
Y1 0.291 0.250 0.954
Y2 0.709 0.750 0.046
Sn1 0.256 0.750 0.155
Sn2 0.744 0.250 0.845
S1 0.012 0.750 0.915
S2 0.047 0.750 0.311
S3 0.492 0.505 0.813
S4 0.492 0.995 0.813
S5 0.508 0.005 0.187
S6 0.508 0.495 0.187
S7 0.953 0.250 0.689
S8 0.988 0.250 0.085

Summary:
Magnetic moment, μB/cell: 0.00
Uncorrected energy, eV per atom: -5.20
Formation energy from raw total energies, eV per atom: -1.221

[2]
Nd3Sm2Te5: optimized geometry, PBE-GGA.

Unit cell a=8.352 b=8.352 c=11.422 alpha=124.31 beta=124.31 gamma=29.51
Element x y z (fractional)
Nd1 0.000 0.000 0.000
Nd2 0.381 0.381 0.631
Nd3 0.619 0.619 0.369
Sm1 0.152 0.152 0.746
Sm2 0.848 0.848 0.254
Te1 0.218 0.218 0.289
Te2 0.385 0.385 0.077
Te3 0.500 0.500 0.500
Te4 0.615 0.615 0.923
Te5 0.782 0.782 0.711

Summary:
Magnetic moment, μB/cell: 0.00
Uncorrected energy, eV per atom: -5.27
Formation energy from raw total energies, eV per atom: -1.322

[3]
CaScMnBi2: optimized geometry, PBE-GGA.

Unit cell a=5.694 b=5.694 c=5.088 alpha=90.00 beta=90.00 gamma=90.00
Element x y z (fractional)
Ca1 0.000 0.000 0.000
Sc1 0.500 0.500 0.500
Mn1 0.000 0.000 0.500
Bi1 0.000 0.500 0.000
Bi2 0.500 0.000 0.000

Summary:
Magnetic moment, μB/cell: 4.01
Energy relative to the elements, eV/atom: 0.841
Uncorrected energy, eV per atom: -4.21